Entry 1:
The following is a DFT calculation (PBE) of an optimized crystal structure of Be2ZnFe.

a = 2.754 Å, b = 2.758 Å, c = 5.279 Å
α = 90.00°, β = 90.00°, γ = 90.00°
Last column: magnetic moment on the atom in μB.
Fractional positions:
1 Fe 0.500 0.500 0.250  0.69
2 Zn 0.500 0.500 0.750  0.01
3 Be 0.000 0.000 0.044  -0.02
4 Be 0.000 0.000 0.456  -0.02

E_tot, eV/f.u.: -17.366
Total magnetization, μB per formula unit: 0.66



Entry 2:
The following is a DFT calculation (PBE) of an optimized crystal structure of Be3ZnFe.

a = 4.013 Å, b = 4.013 Å, c = 4.013 Å
α = 90.00°, β = 90.00°, γ = 90.00°
Last column: magnetic moment on the atom in μB.
Fractional positions:
1 Zn 0.000 0.000 0.000  0.08
2 Be 0.500 0.000 0.000  -0.03
3 Be 0.000 0.500 0.000  -0.01
4 Be 0.000 0.000 0.500  0.03
5 Fe 0.500 0.500 0.500  2.92

E_tot, eV/f.u.: -16.075
Relative energy among the computed polymorphs, eV/f.u.: 1.072
Total magnetization, μB per formula unit: 2.93



Entry 3:
The following is a DFT calculation (PBE) of an optimized crystal structure of Be2ZnFe.

a = 4.449 Å, b = 4.449 Å, c = 4.449 Å
α = 137.19°, β = 137.19°, γ = 62.14°
Last column: magnetic moment on the atom in μB.
Fractional positions:
1 Fe 0.500 0.500 0.000  1.16
2 Zn 0.750 0.250 0.500  -0.03
3 Be 0.000 0.000 0.000  -0.05
4 Be 0.250 0.750 0.500  -0.03

E_tot, eV/f.u.: -17.079
Total magnetization, μB per formula unit: 0.97



| no. | Fermi-level density of states (states/eV/atom) | volume (Å³/atom) | energy of formation from the pure elements (eV/atom) |
| --- | --- | --- | --- |
| 1 | 0.41 | 10.022 | -0.04 |
| 2 | 0.55 | 12.921 | 0.97 |
| 3 | 0.67 | 10.049 | 0.03 |